# Sr2CaCu GGA-PBE relaxed
# ΔE to the lowest computed polymorph = 176 meV per atom
# SG = I-42d
# Density = 2.75 g cm⁻³
# Energy of formation = 151 meV/atom
data_Sr2CaCu
_symmetry_space_group_name_H-M 'P 1'
_symmetry_Int_Tables_number 1
_symmetry_space_group_name_Hall 'P 1'
_cell_length_a 8.060
_cell_length_b 8.060
_cell_length_c 8.060
_cell_angle_alpha 98.07
_cell_angle_beta 98.07
_cell_angle_gamma 136.00
loop_
_atom_site_label
_atom_site_type_symbol
_atom_site_fract_x
_atom_site_fract_y
_atom_site_fract_z
_atom_site_occupancy
Sr1 Sr 0.003 0.625 0.878 1
Sr2 Sr 0.375 0.253 0.378 1
Sr3 Sr 0.747 0.125 0.122 1
Sr4 Sr 0.875 0.997 0.622 1
Ca1 Ca 0.250 0.750 0.500 1
Ca2 Ca 0.500 0.500 0.000 1
Cu1 Cu 0.000 0.000 0.000 1
Cu2 Cu 0.750 0.250 0.500 1



# ScTi2SbH GGA-PBE relaxed
# SG = P4/mmm
# Density = 5.68 g cm⁻³
data_ScTi2SbH
_symmetry_space_group_name_H-M 'P 1'
_symmetry_Int_Tables_number 1
_symmetry_space_group_name_Hall 'P 1'
_cell_length_a 4.155
_cell_length_b 4.155
_cell_length_c 4.458
_cell_angle_alpha 90.00
_cell_angle_beta 90.00
_cell_angle_gamma 90.00
loop_
_atom_site_label
_atom_site_type_symbol
_atom_site_fract_x
_atom_site_fract_y
_atom_site_fract_z
_atom_site_occupancy
Sc1 Sc 0.000 0.000 0.000 1
Ti1 Ti 0.000 0.500 0.500 1
Ti2 Ti 0.500 0.000 0.500 1
Sb1 Sb 0.500 0.500 0.000 1
H1 H 0.000 0.000 0.500 1



# CePuMg GGA-PBE relaxed
# ΔE to the lowest computed polymorph = 49 meV per atom
# SG = I4mm
# Density = 8.79 g cm⁻³
# Energy of formation = 133 meV/atom
data_CePuMg
_symmetry_space_group_name_H-M 'P 1'
_symmetry_Int_Tables_number 1
_symmetry_space_group_name_Hall 'P 1'
_cell_length_a 6.167
_cell_length_b 6.167
_cell_length_c 6.167
_cell_angle_alpha 144.91
_cell_angle_beta 144.91
_cell_angle_gamma 50.47
loop_
_atom_site_label
_atom_site_type_symbol
_atom_site_fract_x
_atom_site_fract_y
_atom_site_fract_z
_atom_site_occupancy
Ce1 Ce 0.000 0.000 0.000 1
Pu1 Pu 0.364 0.364 0.000 1
Mg1 Mg 0.685 0.685 0.000 1



# RbZr2Re GGA-PBE relaxed
# ΔE to the lowest computed polymorph = 0 meV per atom
# SG = Fm-3m
# Density = 8.58 g cm⁻³
# Energy of formation = 1043 meV/atom
data_RbZr2Re
_symmetry_space_group_name_H-M 'P 1'
_symmetry_Int_Tables_number 1
_symmetry_space_group_name_Hall 'P 1'
_cell_length_a 4.990
_cell_length_b 4.990
_cell_length_c 4.990
_cell_angle_alpha 60.00
_cell_angle_beta 60.00
_cell_angle_gamma 60.00
loop_
_atom_site_label
_atom_site_type_symbol
_atom_site_fract_x
_atom_site_fract_y
_atom_site_fract_z
_atom_site_occupancy
Rb1 Rb 0.000 0.000 0.000 1
Zr1 Zr 0.250 0.250 0.250 1
Zr2 Zr 0.750 0.750 0.750 1
Re1 Re 0.500 0.500 0.500 1



# LiBeCoMo2 GGA-PBE relaxed
# SG = P4/mmm
# Density = 6.68 g cm⁻³
# Energy of formation = 1329 meV/atom
data_LiBeCoMo2
_symmetry_space_group_name_H-M 'P 1'
_symmetry_Int_Tables_number 1
_symmetry_space_group_name_Hall 'P 1'
_cell_length_a 4.201
_cell_length_b 4.201
_cell_length_c 3.755
_cell_angle_alpha 90.00
_cell_angle_beta 90.00
_cell_angle_gamma 90.00
loop_
_atom_site_label
_atom_site_type_symbol
_atom_site_fract_x
_atom_site_fract_y
_atom_site_fract_z
_atom_site_occupancy
Li1 Li 0.000 0.000 0.000 1
Be1 Be 0.500 0.500 0.500 1
Co1 Co 0.000 0.000 0.500 1
Mo1 Mo 0.000 0.500 0.000 1
Mo2 Mo 0.500 0.000 0.000 1



# Pu2PaCo GGA-PBE relaxed
# ΔE to the lowest computed polymorph = 461 meV per atom
# SG = R-3m
# Density = 15.55 g cm⁻³
# Energy of formation = 496 meV/atom
data_Pu2PaCo
_symmetry_space_group_name_H-M 'P 1'
_symmetry_Int_Tables_number 1
_symmetry_space_group_name_Hall 'P 1'
_cell_length_a 5.646
_cell_length_b 5.646
_cell_length_c 5.646
_cell_angle_alpha 45.39
_cell_angle_beta 45.39
_cell_angle_gamma 45.39
loop_
_atom_site_label
_atom_site_type_symbol
_atom_site_fract_x
_atom_site_fract_y
_atom_site_fract_z
_atom_site_occupancy
Pu1 Pu 0.164 0.164 0.164 1
Pu2 Pu 0.836 0.836 0.836 1
Pa1 Pa 0.000 0.000 0.000 1
Co1 Co 0.500 0.500 0.500 1



# PmIn5Rh6 GGA-PBE relaxed
# SG = P2/m
# Density = 10.47 g cm⁻³
# Energy of formation = -505 meV/atom
data_PmIn5Rh6
_symmetry_space_group_name_H-M 'P 1'
_symmetry_Int_Tables_number 1
_symmetry_space_group_name_Hall 'P 1'
_cell_length_a 4.572
_cell_length_b 6.756
_cell_length_c 7.227
_cell_angle_alpha 90.00
_cell_angle_beta 108.35
_cell_angle_gamma 90.00
loop_
_atom_site_label
_atom_site_type_symbol
_atom_site_fract_x
_atom_site_fract_y
_atom_site_fract_z
_atom_site_occupancy
Pm1 Pm 0.000 0.000 0.000 1
In1 In 0.000 0.500 0.000 1
In2 In 0.333 0.000 0.666 1
In3 In 0.334 0.500 0.669 1
In4 In 0.666 0.500 0.331 1
In5 In 0.667 0.000 0.334 1
Rh1 Rh 0.171 0.257 0.343 1
Rh2 Rh 0.171 0.743 0.343 1
Rh3 Rh 0.500 0.266 0.000 1
Rh4 Rh 0.500 0.734 0.000 1
Rh5 Rh 0.829 0.257 0.657 1
Rh6 Rh 0.829 0.743 0.657 1



# Nd2TlSb GGA-PBE relaxed
# ΔE to the lowest computed polymorph = 62 meV per atom
# SG = R-3m
# Raw formation energy = -0.7037 eV/atom
# Density = 7.70 g cm⁻³
data_Nd2TlSb
_symmetry_space_group_name_H-M 'P 1'
_symmetry_Int_Tables_number 1
_symmetry_space_group_name_Hall 'P 1'
_cell_length_a 8.486
_cell_length_b 8.486
_cell_length_c 8.486
_cell_angle_alpha 29.67
_cell_angle_beta 29.67
_cell_angle_gamma 29.67
loop_
_atom_site_label
_atom_site_type_symbol
_atom_site_fract_x
_atom_site_fract_y
_atom_site_fract_z
_atom_site_occupancy
Nd1 Nd 0.244 0.244 0.244 1
Nd2 Nd 0.756 0.756 0.756 1
Tl1 Tl 0.000 0.000 0.000 1
Sb1 Sb 0.500 0.500 0.500 1



no.,total DFT energy (no corrections) (eV per cell)
1,-17.7
2,-31.9
3,-21.5
4,-26.3
5,-27.8
6,-43.3
7,-68.6
8,-18.8